No. 1
Below is an optimized crystal structure of TbMgInRh, with properties calculated at the PBE-GGA level.

Computed properties:
density	7.9	Mg/m³
final energy	-18.0	eV per formula unit
crystal system	cubic

Structure (CIF):
```
data_TbMgInRh
_chemical_formula_sum 'Tb1 Mg1 In1 Rh1'
_cell_length_a 4.912
_cell_length_b 4.912
_cell_length_c 4.912
_cell_angle_alpha 60.00
_cell_angle_beta 60.00
_cell_angle_gamma 60.00
_space_group_name_H-M_alt 'P 1'
_space_group_IT_number 1
_space_group_name_Hall 'P 1'
loop_
_atom_site_label
_atom_site_type_symbol
_atom_site_fract_x
_atom_site_fract_y
_atom_site_fract_z
Tb1 Tb 0.500 0.500 0.500
In1 In 0.750 0.750 0.750
Mg1 Mg 0.000 0.000 0.000
Rh1 Rh 0.250 0.250 0.250
```

=====

No. 2
Below is an optimized crystal structure of BaMnCo2, with properties calculated at the PBE-GGA level.

Computed properties:
density	6.0	Mg/m³
final energy	-24.1	eV per formula unit
energy above the lowest structure with this stoichiometry	0.0	meV per atom
crystal system	trigonal

Structure (CIF):
```
data_BaMnCo2
_chemical_formula_sum 'Ba1 Mn1 Co2'
_cell_length_a 4.143
_cell_length_b 4.143
_cell_length_c 6.281
_cell_angle_alpha 70.78
_cell_angle_beta 70.78
_cell_angle_gamma 60.00
_space_group_name_H-M_alt 'P 1'
_space_group_IT_number 1
_space_group_name_Hall 'P 1'
loop_
_atom_site_label
_atom_site_type_symbol
_atom_site_fract_x
_atom_site_fract_y
_atom_site_fract_z
Ba1 Ba 0.254 0.254 0.238
Co1 Co 0.063 0.063 0.812
Co2 Co 0.740 0.740 0.780
Mn1 Mn 0.443 0.443 0.670
```

=====

No. 3
Below is an optimized crystal structure of B2IrPd2, with properties calculated at the PBE-GGA level.

Computed properties:
density	12.4	Mg/m³
final energy	-32.1	eV per formula unit
crystal system	tetragonal

Structure (CIF):
```
data_B2IrPd2
_chemical_formula_sum 'B4 Ir2 Pd4'
_cell_length_a 5.624
_cell_length_b 5.624
_cell_length_c 3.624
_cell_angle_alpha 90.00
_cell_angle_beta 90.00
_cell_angle_gamma 90.00
_space_group_name_H-M_alt 'P 1'
_space_group_IT_number 1
_space_group_name_Hall 'P 1'
loop_
_atom_site_label
_atom_site_type_symbol
_atom_site_fract_x
_atom_site_fract_y
_atom_site_fract_z
B1 B 0.383 0.883 0.000
B2 B 0.883 0.617 0.000
B3 B 0.117 0.383 0.000
B4 B 0.617 0.117 0.000
Ir1 Ir 0.500 0.500 0.000
Ir2 Ir 0.000 0.000 0.000
Pd1 Pd 0.677 0.823 0.500
Pd2 Pd 0.323 0.177 0.500
Pd3 Pd 0.177 0.677 0.500
Pd4 Pd 0.823 0.323 0.500
```

=====

No. 4
Below is an optimized crystal structure of Nd2DyIn, with properties calculated at the PBE-GGA level.

Computed properties:
density	7.7	Mg/m³
final energy	-17.5	eV per formula unit
energy above the lowest structure with this stoichiometry	119.4	meV per atom
crystal system	cubic

Structure (CIF):
```
data_Nd2DyIn
_chemical_formula_sum 'Nd2 Dy1 In1'
_cell_length_a 5.567
_cell_length_b 5.567
_cell_length_c 5.567
_cell_angle_alpha 60.00
_cell_angle_beta 60.00
_cell_angle_gamma 60.00
_space_group_name_H-M_alt 'P 1'
_space_group_IT_number 1
_space_group_name_Hall 'P 1'
loop_
_atom_site_label
_atom_site_type_symbol
_atom_site_fract_x
_atom_site_fract_y
_atom_site_fract_z
In1 In 0.500 0.500 0.500
Nd1 Nd 0.750 0.750 0.750
Nd2 Nd 0.250 0.250 0.250
Dy1 Dy 0.000 0.000 0.000
```

=====

No. 5
Below is an optimized crystal structure of AlCr2Se, with properties calculated at the PBE-GGA level.

Computed properties:
formation energy from raw total energies	0.165	eV per atom
density	5.5	Mg/m³
final energy	-25.8	eV per formula unit
energy above the lowest structure with this stoichiometry	159.9	meV per atom
crystal system	monoclinic

Structure (CIF):
```
data_AlCr2Se
_chemical_formula_sum 'Al1 Cr2 Se1'
_cell_length_a 4.355
_cell_length_b 3.128
_cell_length_c 4.890
_cell_angle_alpha 71.48
_cell_angle_beta 90.00
_cell_angle_gamma 90.00
_space_group_name_H-M_alt 'P 1'
_space_group_IT_number 1
_space_group_name_Hall 'P 1'
loop_
_atom_site_label
_atom_site_type_symbol
_atom_site_fract_x
_atom_site_fract_y
_atom_site_fract_z
Cr1 Cr 0.500 0.433 0.255
Cr2 Cr 0.000 0.043 0.038
Al1 Al 0.500 0.702 0.724
Se1 Se 0.000 0.322 0.484
```

=====

No. 6
Below is an optimized crystal structure of Sm4CoAu, with properties calculated at the PBE-GGA level.

Computed properties:
density	8.2	Mg/m³
final energy	-30.8	eV per formula unit
energy above the lowest structure with this stoichiometry	57.4	meV per atom
crystal system	monoclinic

Structure (CIF):
```
data_Sm4CoAu
_chemical_formula_sum 'Sm8 Co2 Au2'
_cell_length_a 7.227
_cell_length_b 6.861
_cell_length_c 8.445
_cell_angle_alpha 109.30
_cell_angle_beta 110.86
_cell_angle_gamma 100.19
_space_group_name_H-M_alt 'P 1'
_space_group_IT_number 1
_space_group_name_Hall 'P 1'
loop_
_atom_site_label
_atom_site_type_symbol
_atom_site_fract_x
_atom_site_fract_y
_atom_site_fract_z
Co1 Co 0.088 0.838 0.675
Co2 Co 0.912 0.162 0.325
Sm1 Sm 0.943 0.279 0.067
Sm2 Sm 0.205 0.963 0.434
Sm3 Sm 0.057 0.721 0.933
Sm4 Sm 0.375 0.212 0.933
Sm5 Sm 0.795 0.037 0.566
Sm6 Sm 0.625 0.788 0.067
Sm7 Sm 0.730 0.471 0.434
Sm8 Sm 0.270 0.529 0.566
Au1 Au 0.626 0.376 0.752
Au2 Au 0.374 0.624 0.248
```

=====

No. 7
Below is an optimized crystal structure of NdSm2Pa, with properties calculated at the PBE-GGA level.

Computed properties:
density	9.0	Mg/m³
final energy	-23.1	eV per formula unit
energy above the lowest structure with this stoichiometry	0.0	meV per atom
crystal system	tetragonal

Structure (CIF):
```
data_NdSm2Pa
_chemical_formula_sum 'Nd1 Sm2 Pa1'
_cell_length_a 3.449
_cell_length_b 3.449
_cell_length_c 10.539
_cell_angle_alpha 90.00
_cell_angle_beta 90.00
_cell_angle_gamma 90.00
_space_group_name_H-M_alt 'P 1'
_space_group_IT_number 1
_space_group_name_Hall 'P 1'
loop_
_atom_site_label
_atom_site_type_symbol
_atom_site_fract_x
_atom_site_fract_y
_atom_site_fract_z
Sm1 Sm 0.000 0.000 0.227
Sm2 Sm 0.000 0.000 0.773
Nd1 Nd 0.500 0.500 0.500
Pa1 Pa 0.500 0.500 0.000
```

=====

No. 8
Below is an optimized crystal structure of PmDy3Co2, with properties calculated at the PBE-GGA level.

Computed properties:
density	8.3	Mg/m³
final energy	-33.5	eV per formula unit
energy above the lowest structure with this stoichiometry	0.0	meV per atom
crystal system	monoclinic

Structure (CIF):
```
data_PmDy3Co2
_chemical_formula_sum 'Pm2 Dy6 Co4'
_cell_length_a 3.746
_cell_length_b 8.475
_cell_length_c 9.973
_cell_angle_alpha 79.03
_cell_angle_beta 79.17
_cell_angle_gamma 77.23
_space_group_name_H-M_alt 'P 1'
_space_group_IT_number 1
_space_group_name_Hall 'P 1'
loop_
_atom_site_label
_atom_site_type_symbol
_atom_site_fract_x
_atom_site_fract_y
_atom_site_fract_z
Dy1 Dy 0.585 0.268 0.561
Dy2 Dy 0.584 0.778 0.054
Dy3 Dy 0.415 0.732 0.439
Dy4 Dy 0.842 0.067 0.249
Dy5 Dy 0.158 0.933 0.751
Dy6 Dy 0.416 0.222 0.946
Co1 Co 0.764 0.422 0.050
Co2 Co 0.234 0.080 0.453
Co3 Co 0.236 0.578 0.950
Co4 Co 0.766 0.920 0.547
Pm1 Pm 0.156 0.433 0.254
Pm2 Pm 0.844 0.567 0.746
```